Crystalline ScMnP4 at its relaxed geometry, computed with PBE.

abc: 5.0741 5.0741 5.0741
angles: 60.00 60.00 60.00
Fractional coordinates of all 6 atoms:
Sc1 0.0000 0.0000 0.0000
Mn1 0.7500 0.7500 0.7500
P1 0.3767 0.3767 0.3767
P2 0.3767 0.3767 0.8700
P3 0.3767 0.8700 0.3767
P4 0.8700 0.3767 0.3767

Computed properties:
Formation energy from the elements, eV per atom: 0.21
Crystal system: cubic



Crystalline DyGaN at its relaxed geometry, computed with PBE.

abc: 4.6937 3.9385 6.4490
angles: 90.00 101.84 90.00
Fractional coordinates of all 6 atoms:
Dy1 0.0153 0.2500 0.2900
Dy2 0.9847 0.7500 0.7100
Ga1 0.4789 0.7500 0.1297
Ga2 0.5211 0.2500 0.8703
N1 0.1952 0.2500 0.6360
N2 0.8048 0.7500 0.3640

Computed properties:
Crystal system: monoclinic
E_tot, eV/cell: -36.910



Crystalline Mn2AsW at its relaxed geometry, computed with PBE.

abc: 5.4938 5.4938 5.4938
angles: 102.75 102.75 123.97
Fractional coordinates of all 8 atoms:
Mn1 0.1110 0.6250 0.9860
Mn2 0.3750 0.3610 0.4860
Mn3 0.6390 0.1250 0.0140
Mn4 0.8750 0.8890 0.5140
As1 0.0000 0.0000 0.0000
As2 0.7500 0.2500 0.5000
W1 0.2500 0.7500 0.5000
W2 0.5000 0.5000 0.0000

Computed properties:
Formation energy from the elements, eV per atom: 0.52
Crystal system: tetragonal



Table of V (A^3/atom), in record order: 15.396 19.447 15.175